The following is a PBE with a Hubbard U calculation of ZrMn2NbO8 after structural relaxation, from the Alexandria database.

Geometry as CIF:
```
data_ZrMn2NbO8
_cell_length_a 4.754
_cell_length_b 4.759
_cell_length_c 6.192
_cell_angle_alpha 90.00
_cell_angle_beta 90.00
_cell_angle_gamma 91.13
_symmetry_space_group_name_H-M 'P 1'
_symmetry_Int_Tables_number 1
_symmetry_space_group_name_Hall 'P 1'
loop_
_atom_site_label
_atom_site_fract_x
_atom_site_fract_y
_atom_site_fract_z
Zr1 0.000 0.000 0.500
Mn1 0.500 0.500 0.751
Mn2 0.500 0.500 0.249
Nb1 0.000 0.000 0.000
O1 0.198 0.804 0.239
O2 0.691 0.690 0.000
O3 0.802 0.196 0.239
O4 0.802 0.196 0.761
O5 0.309 0.310 0.000
O6 0.198 0.804 0.761
O7 0.684 0.682 0.500
O8 0.316 0.318 0.500
```

The following is a PBE with a Hubbard U calculation of ZrMnNbO6 after structural relaxation, from the Alexandria database.

Geometry as CIF:
```
data_ZrMnNbO6
_cell_length_a 4.869
_cell_length_b 4.869
_cell_length_c 9.331
_cell_angle_alpha 90.00
_cell_angle_beta 90.00
_cell_angle_gamma 90.00
_symmetry_space_group_name_H-M 'P 1'
_symmetry_Int_Tables_number 1
_symmetry_space_group_name_Hall 'P 1'
loop_
_atom_site_label
_atom_site_fract_x
_atom_site_fract_y
_atom_site_fract_z
Zr1 0.500 0.500 0.170
Zr2 0.000 0.000 0.670
Mn1 0.500 0.500 0.502
Mn2 0.000 0.000 0.002
Nb1 0.500 0.500 0.838
Nb2 0.000 0.000 0.338
O1 0.190 0.810 0.491
O2 0.810 0.190 0.491
O3 0.310 0.310 0.991
O4 0.690 0.690 0.991
O5 0.187 0.813 0.164
O6 0.813 0.187 0.164
O7 0.313 0.313 0.664
O8 0.687 0.687 0.664
O9 0.802 0.198 0.840
O10 0.198 0.802 0.840
O11 0.698 0.698 0.340
O12 0.302 0.302 0.340
```

no.,size of the total moment (μB per formula unit),calculated total energy (eV per formula unit)
1,7.000,-99.218
2,4.000,-78.322